1.
# Ca2TlRe, relaxed, DFT PBE
data_Ca2TlRe
_chemical_formula_sum 'Ca8 Tl4 Re4'
_symmetry_space_group_name_H-M 'F -4 3 m'
_symmetry_Int_Tables_number 216
_symmetry_space_group_name_Hall 'F -4 2 3'
_cell_length_a 7.171
_cell_length_b 7.171
_cell_length_c 7.171
_cell_angle_alpha 90.00
_cell_angle_beta 90.00
_cell_angle_gamma 90.00
loop_
_atom_site_label
_atom_site_type_symbol
_atom_site_fract_x
_atom_site_fract_y
_atom_site_fract_z
Ca1 Ca 0.000 0.000 0.000
Ca2 Ca 0.250 0.250 0.250
Tl1 Tl 0.250 0.250 0.750
Re1 Re 0.000 0.000 0.500
# - Calculated density: 8.48 g/cm3
# - E_form: 2.421 eV per formula unit
# - Size of the total moment: 0.0 μB per cell
# - V: 368.70 Å³ per cell

2.
# CaTlRe2, relaxed, DFT PBE
data_CaTlRe2
_chemical_formula_sum 'Ca1 Tl1 Re2'
_symmetry_space_group_name_H-M 'P m m m'
_symmetry_Int_Tables_number 47
_cell_length_a 2.891
_cell_length_b 4.717
_cell_length_c 6.131
_cell_angle_alpha 90.00
_cell_angle_beta 90.00
_cell_angle_gamma 90.00
loop_
_symmetry_equiv_pos_as_xyz
'x,y,z'
'-x,-y,-z'
'-x,-y,z'
'x,y,-z'
'x,-y,-z'
'-x,y,z'
'-x,y,-z'
'x,-y,z'
loop_
_atom_site_label
_atom_site_type_symbol
_atom_site_fract_x
_atom_site_fract_y
_atom_site_fract_z
Ca1 Ca 0.000 0.000 0.000
Tl1 Tl 0.000 0.000 0.500
Re1 Re 0.500 0.500 0.307
# - Calculated density: 12.25 g/cm3
# - E_form: 3.922 eV per formula unit
# - Size of the total moment: 0.0 μB per cell
# - V: 83.60 Å³ per cell

3.
# Ca2TlRe, relaxed, DFT PBE
data_Ca2TlRe
_chemical_formula_sum 'Ca4 Tl2 Re2'
_symmetry_space_group_name_H-M 'I m m 2'
_symmetry_Int_Tables_number 44
_cell_length_a 3.126
_cell_length_b 5.506
_cell_length_c 11.871
_cell_angle_alpha 90.00
_cell_angle_beta 90.00
_cell_angle_gamma 90.00
loop_
_symmetry_equiv_pos_as_xyz
'x,y,z'
'-x,-y,z'
'-x,y,z'
'x,-y,z'
'x+1/2,y+1/2,z+1/2'
'-x+1/2,-y+1/2,z+1/2'
'-x+1/2,y+1/2,z+1/2'
'x+1/2,-y+1/2,z+1/2'
loop_
_atom_site_label
_atom_site_type_symbol
_atom_site_fract_x
_atom_site_fract_y
_atom_site_fract_z
Ca1 Ca 0.000 0.000 0.000
Ca2 Ca 0.000 0.500 0.183
Tl1 Tl 0.000 0.000 0.416
Re1 Re 0.000 0.500 0.718
# - Calculated density: 7.65 g/cm3
# - E_form: 1.915 eV per formula unit
# - Size of the total moment: 0.0 μB per cell
# - V: 204.32 Å³ per cell

4.
# CaTlRe2, relaxed, DFT PBE
data_CaTlRe2
_chemical_formula_sum 'Ca1 Tl1 Re2'
_symmetry_space_group_name_H-M 'P m m m'
_symmetry_Int_Tables_number 47
_cell_length_a 3.412
_cell_length_b 4.582
_cell_length_c 4.812
_cell_angle_alpha 90.00
_cell_angle_beta 90.00
_cell_angle_gamma 90.00
loop_
_symmetry_equiv_pos_as_xyz
'x,y,z'
'-x,-y,-z'
'-x,-y,z'
'x,y,-z'
'x,-y,-z'
'-x,y,z'
'-x,y,-z'
'x,-y,z'
loop_
_atom_site_label
_atom_site_type_symbol
_atom_site_fract_x
_atom_site_fract_y
_atom_site_fract_z
Ca1 Ca 0.000 0.000 0.000
Tl1 Tl 0.500 0.500 0.000
Re1 Re 0.000 0.500 0.500
Re2 Re 0.500 0.000 0.500
# - Calculated density: 13.62 g/cm3
# - E_form: 3.608 eV per formula unit
# - Size of the total moment: 0.0 μB per cell
# - V: 75.23 Å³ per cell

5.
# CaTlRe2, relaxed, DFT PBE
data_CaTlRe2
_chemical_formula_sum 'Ca4 Tl4 Re8'
_symmetry_space_group_name_H-M 'I -4 2 d'
_symmetry_Int_Tables_number 122
_symmetry_space_group_name_Hall 'I -4 2bw'
_cell_length_a 8.103
_cell_length_b 8.103
_cell_length_c 5.332
_cell_angle_alpha 90.00
_cell_angle_beta 90.00
_cell_angle_gamma 90.00
loop_
_atom_site_label
_atom_site_type_symbol
_atom_site_fract_x
_atom_site_fract_y
_atom_site_fract_z
Ca1 Ca 0.000 0.000 0.000
Tl1 Tl 0.000 0.000 0.500
Re1 Re 0.216 0.250 0.625
# - Calculated density: 11.70 g/cm3
# - E_form: 5.860 eV per formula unit
# - Size of the total moment: 2.8 μB per cell
# - V: 350.14 Å³ per cell

6.
# CaTlRe, relaxed, DFT PBE
data_CaTlRe
_chemical_formula_sum 'Ca4 Tl4 Re4'
_symmetry_space_group_name_H-M 'F m m 2'
_symmetry_Int_Tables_number 42
_symmetry_space_group_name_Hall 'F 2 -2'
_cell_length_a 4.256
_cell_length_b 4.306
_cell_length_c 14.153
_cell_angle_alpha 90.00
_cell_angle_beta 90.00
_cell_angle_gamma 90.00
loop_
_atom_site_label
_atom_site_type_symbol
_atom_site_fract_x
_atom_site_fract_y
_atom_site_fract_z
Ca1 Ca 0.000 0.000 0.000
Tl1 Tl 0.000 0.000 0.311
Re1 Re 0.000 0.000 0.659
# - Calculated density: 11.03 g/cm3
# - E_form: 2.044 eV per formula unit
# - Size of the total moment: 1.2 μB per cell
# - V: 259.34 Å³ per cell

7.
# CaTlRe2, relaxed, DFT PBE
data_CaTlRe2
_chemical_formula_sum 'Ca1 Tl1 Re2'
_symmetry_space_group_name_H-M 'P 1 2/m 1'
_symmetry_Int_Tables_number 10
_cell_length_a 2.874
_cell_length_b 5.093
_cell_length_c 5.440
_cell_angle_alpha 90.00
_cell_angle_beta 94.10
_cell_angle_gamma 90.00
loop_
_symmetry_equiv_pos_as_xyz
'x,y,z'
'-x,-y,-z'
'-x,y,-z'
'x,-y,z'
loop_
_atom_site_label
_atom_site_type_symbol
_atom_site_fract_x
_atom_site_fract_y
_atom_site_fract_z
Ca1 Ca 0.000 0.000 0.000
Tl1 Tl 0.500 0.000 0.500
Re1 Re 0.371 0.500 0.783
# - Calculated density: 12.90 g/cm3
# - E_form: 3.091 eV per formula unit
# - Size of the total moment: 0.0 μB per cell
# - V: 79.42 Å³ per cell

8.
# CaTlRe, relaxed, DFT PBE
data_CaTlRe
_chemical_formula_sum 'Ca1 Tl1 Re1'
_symmetry_space_group_name_H-M 'P 3 m 1'
_symmetry_Int_Tables_number 156
_cell_length_a 3.2082
_cell_length_b 3.2082
_cell_length_c 7.3978
_cell_angle_alpha 90.00
_cell_angle_beta 90.00
_cell_angle_gamma 120.00
loop_
_symmetry_equiv_pos_as_xyz
'x,y,z'
'-y,x-y,z'
'-x+y,-x,z'
'-y,-x,z'
'-x+y,y,z'
'x,x-y,z'
loop_
_atom_site_label
_atom_site_type_symbol
_atom_site_fract_x
_atom_site_fract_y
_atom_site_fract_z
Ca1 Ca 0.0000 0.0000 0.0000
Tl1 Tl 0.3333 0.6667 0.6220
Re1 Re 0.6667 0.3333 0.3154
# - Calculated density: 10.85 g/cm3
# - E_form: 2.387 eV per formula unit
# - Size of the total moment: 0.3 μB per cell
# - V: 65.94 Å³ per cell

9.
# CaTlRe, relaxed, DFT PBE
data_CaTlRe
_chemical_formula_sum 'Ca4 Tl4 Re4'
_symmetry_space_group_name_H-M 'F -4 3 m'
_symmetry_Int_Tables_number 216
_symmetry_space_group_name_Hall 'F -4 2 3'
_cell_length_a 6.842
_cell_length_b 6.842
_cell_length_c 6.842
_cell_angle_alpha 90.00
_cell_angle_beta 90.00
_cell_angle_gamma 90.00
loop_
_atom_site_label
_atom_site_type_symbol
_atom_site_fract_x
_atom_site_fract_y
_atom_site_fract_z
Ca1 Ca 0.000 0.000 0.000
Tl1 Tl 0.000 0.000 0.500
Re1 Re 0.250 0.250 0.250
# - Calculated density: 8.93 g/cm3
# - E_form: 3.267 eV per formula unit
# - Size of the total moment: 7.7 μB per cell
# - V: 320.27 Å³ per cell

10.
# Ca2TlRe, relaxed, DFT PBE
data_Ca2TlRe
_chemical_formula_sum 'Ca4 Tl2 Re2'
_symmetry_space_group_name_H-M 'I 4/m m m'
_symmetry_Int_Tables_number 139
_symmetry_space_group_name_Hall '-I 4 2'
_cell_length_a 4.679
_cell_length_b 4.679
_cell_length_c 8.761
_cell_angle_alpha 90.00
_cell_angle_beta 90.00
_cell_angle_gamma 90.00
loop_
_atom_site_label
_atom_site_type_symbol
_atom_site_fract_x
_atom_site_fract_y
_atom_site_fract_z
Ca1 Ca 0.000 0.500 0.250
Tl1 Tl 0.000 0.000 0.000
Re1 Re 0.000 0.000 0.500
# - Calculated density: 8.15 g/cm3
# - E_form: 2.287 eV per formula unit
# - Size of the total moment: 2.4 μB per cell
# - V: 191.76 Å³ per cell

11.
# CaTlRe2, relaxed, DFT PBE
data_CaTlRe2
_chemical_formula_sum 'Ca2 Tl2 Re4'
_symmetry_space_group_name_H-M 'C m m m'
_symmetry_Int_Tables_number 65
_symmetry_space_group_name_Hall '-C 2 2'
_cell_length_a 3.374
_cell_length_b 4.578
_cell_length_c 9.903
_cell_angle_alpha 90.00
_cell_angle_beta 90.00
_cell_angle_gamma 90.00
loop_
_atom_site_label
_atom_site_type_symbol
_atom_site_fract_x
_atom_site_fract_y
_atom_site_fract_z
Ca1 Ca 0.000 0.000 0.000
Tl1 Tl 0.000 0.000 0.500
Re1 Re 0.000 0.500 0.255
# - Calculated density: 13.39 g/cm3
# - E_form: 4.211 eV per formula unit
# - Size of the total moment: 0.0 μB per cell
# - V: 152.98 Å³ per cell

12.
# Ca2TlRe, relaxed, DFT PBE
data_Ca2TlRe
_chemical_formula_sum 'Ca4 Tl2 Re2'
_symmetry_space_group_name_H-M 'C m m m'
_symmetry_Int_Tables_number 65
_symmetry_space_group_name_Hall '-C 2 2'
_cell_length_a 4.326
_cell_length_b 4.509
_cell_length_c 9.751
_cell_angle_alpha 90.00
_cell_angle_beta 90.00
_cell_angle_gamma 90.00
loop_
_atom_site_label
_atom_site_type_symbol
_atom_site_fract_x
_atom_site_fract_y
_atom_site_fract_z
Ca1 Ca 0.000 0.000 0.226
Tl1 Tl 0.000 0.500 0.500
Re1 Re 0.000 0.500 0.000
# - Calculated density: 8.22 g/cm3
# - E_form: 1.811 eV per formula unit
# - Size of the total moment: 1.1 μB per cell
# - V: 190.18 Å³ per cell

13.
# CaTlRe2, relaxed, DFT PBE
data_CaTlRe2
_chemical_formula_sum 'Ca4 Tl4 Re8'
_symmetry_space_group_name_H-M 'F -4 3 m'
_symmetry_Int_Tables_number 216
_symmetry_space_group_name_Hall 'F -4 2 3'
_cell_length_a 6.678
_cell_length_b 6.678
_cell_length_c 6.678
_cell_angle_alpha 90.00
_cell_angle_beta 90.00
_cell_angle_gamma 90.00
loop_
_atom_site_label
_atom_site_type_symbol
_atom_site_fract_x
_atom_site_fract_y
_atom_site_fract_z
Ca1 Ca 0.000 0.000 0.000
Tl1 Tl 0.250 0.250 0.250
Re1 Re 0.000 0.000 0.500
Re2 Re 0.250 0.250 0.750
# - Calculated density: 13.76 g/cm3
# - E_form: 3.044 eV per formula unit
# - Size of the total moment: 0.0 μB per cell
# - V: 297.84 Å³ per cell

14.
# Ca2TlRe, relaxed, DFT PBE
data_Ca2TlRe
_chemical_formula_sum 'Ca6 Tl3 Re3'
_symmetry_space_group_name_H-M 'R -3 m'
_symmetry_Int_Tables_number 166
_symmetry_space_group_name_Hall '-R 3 2"'
_cell_length_a 3.3381
_cell_length_b 3.3381
_cell_length_c 30.5871
_cell_angle_alpha 90.00
_cell_angle_beta 90.00
_cell_angle_gamma 120.00
loop_
_atom_site_label
_atom_site_type_symbol
_atom_site_fract_x
_atom_site_fract_y
_atom_site_fract_z
Ca1 Ca 0.0000 0.0000 0.2416
Tl1 Tl 0.0000 0.0000 0.0000
Re1 Re 0.0000 0.0000 0.5000
# - Calculated density: 7.95 g/cm3
# - E_form: 2.262 eV per formula unit
# - Size of the total moment: 3.1 μB per cell
# - V: 295.16 Å³ per cell

15.
# CaTlRe2, relaxed, DFT PBE
data_CaTlRe2
_chemical_formula_sum 'Ca2 Tl2 Re4'
_symmetry_space_group_name_H-M 'I m m 2'
_symmetry_Int_Tables_number 44
_cell_length_a 3.807
_cell_length_b 4.935
_cell_length_c 8.903
_cell_angle_alpha 90.00
_cell_angle_beta 90.00
_cell_angle_gamma 90.00
loop_
_symmetry_equiv_pos_as_xyz
'x,y,z'
'-x,-y,z'
'-x,y,z'
'x,-y,z'
'x+1/2,y+1/2,z+1/2'
'-x+1/2,-y+1/2,z+1/2'
'-x+1/2,y+1/2,z+1/2'
'x+1/2,-y+1/2,z+1/2'
loop_
_atom_site_label
_atom_site_type_symbol
_atom_site_fract_x
_atom_site_fract_y
_atom_site_fract_z
Ca1 Ca 0.000 0.000 0.000
Tl1 Tl 0.000 0.500 0.781
Re1 Re 0.000 0.000 0.548
Re2 Re 0.000 0.500 0.218
# - Calculated density: 12.25 g/cm3
# - E_form: 2.565 eV per formula unit
# - Size of the total moment: 0.0 μB per cell
# - V: 167.28 Å³ per cell

16.
# Ca2TlRe, relaxed, DFT PBE
data_Ca2TlRe
_chemical_formula_sum 'Ca4 Tl2 Re2'
_symmetry_space_group_name_H-M 'C m m m'
_symmetry_Int_Tables_number 65
_symmetry_space_group_name_Hall '-C 2 2'
_cell_length_a 6.864
_cell_length_b 8.986
_cell_length_c 3.071
_cell_angle_alpha 90.00
_cell_angle_beta 90.00
_cell_angle_gamma 90.00
loop_
_atom_site_label
_atom_site_type_symbol
_atom_site_fract_x
_atom_site_fract_y
_atom_site_fract_z
Ca1 Ca 0.250 0.250 0.000
Tl1 Tl 0.000 0.000 0.500
Re1 Re 0.000 0.500 0.500
# - Calculated density: 8.25 g/cm3
# - E_form: 2.156 eV per formula unit
# - Size of the total moment: 0.0 μB per cell
# - V: 189.47 Å³ per cell

17.
# CaTmRe4, relaxed, DFT PBE
data_CaTmRe4
_chemical_formula_sum 'Ca4 Tm4 Re16'
_symmetry_space_group_name_H-M 'F -4 3 m'
_symmetry_Int_Tables_number 216
_symmetry_space_group_name_Hall 'F -4 2 3'
_cell_length_a 7.636
_cell_length_b 7.636
_cell_length_c 7.636
_cell_angle_alpha 90.00
_cell_angle_beta 90.00
_cell_angle_gamma 90.00
loop_
_atom_site_label
_atom_site_type_symbol
_atom_site_fract_x
_atom_site_fract_y
_atom_site_fract_z
Ca1 Ca 0.000 0.000 0.000
Tm1 Tm 0.250 0.250 0.750
Re1 Re 0.125 0.125 0.375
# - Calculated density: 14.23 g/cm3
# - E_form: -0.101 eV per formula unit
# - Size of the total moment: 0.0 μB per cell
# - V: 445.20 Å³ per cell

18.
# CaV2Re, relaxed, DFT PBE
data_CaV2Re
_chemical_formula_sum 'Ca4 V8 Re4'
_symmetry_space_group_name_H-M 'I 41/a m d'
_symmetry_Int_Tables_number 141
_cell_length_a 4.618
_cell_length_b 4.618
_cell_length_c 17.107
_cell_angle_alpha 90.00
_cell_angle_beta 90.00
_cell_angle_gamma 90.00
loop_
_symmetry_equiv_pos_as_xyz
'x,y,z'
'-x,-y,-z'
'-y+1/4,x+3/4,z+1/4'
'y+1/4,-x+3/4,-z+1/4'
'-x+1/2,-y,z+1/2'
'x+1/2,y,-z+1/2'
'y+1/4,-x+1/4,z+3/4'
'-y+1/4,x+1/4,-z+3/4'
'x,-y,-z'
'-x,y,z'
'-y+1/4,-x+1/4,-z+3/4'
'y+1/4,x+1/4,z+3/4'
'-x+1/2,y,-z+1/2'
'x+1/2,-y,z+1/2'
'y+1/4,x+3/4,-z+1/4'
'-y+1/4,-x+3/4,z+1/4'
'x+1/2,y+1/2,z+1/2'
'-x+1/2,-y+1/2,-z+1/2'
'-y+3/4,x+1/4,z+3/4'
'y+3/4,-x+1/4,-z+3/4'
'-x,-y+1/2,z'
'x,y+1/2,-z'
'y+3/4,-x+3/4,z+1/4'
'-y+3/4,x+3/4,-z+1/4'
'x+1/2,-y+1/2,-z+1/2'
'-x+1/2,y+1/2,z+1/2'
'-y+3/4,-x+3/4,-z+1/4'
'y+3/4,x+3/4,z+1/4'
'-x,y+1/2,-z'
'x,-y+1/2,z'
'y+3/4,x+1/4,-z+3/4'
'-y+3/4,-x+1/4,z+3/4'
loop_
_atom_site_label
_atom_site_type_symbol
_atom_site_fract_x
_atom_site_fract_y
_atom_site_fract_z
Ca1 Ca 0.000 0.250 0.375
V1 V 0.000 0.000 0.000
Re1 Re 0.000 0.250 0.875
# - Calculated density: 5.98 g/cm3
# - E_form: 4.330 eV per formula unit
# - Size of the total moment: 0.0 μB per cell
# - V: 364.81 Å³ per cell

19.
# CaV3Re, relaxed, DFT PBE
data_CaV3Re
_chemical_formula_sum 'Ca1 V3 Re1'
_symmetry_space_group_name_H-M 'P m -3 m'
_symmetry_Int_Tables_number 221
_symmetry_space_group_name_Hall '-P 4 2 3'
_cell_length_a 4.699
_cell_length_b 4.699
_cell_length_c 4.699
_cell_angle_alpha 90.00
_cell_angle_beta 90.00
_cell_angle_gamma 90.00
loop_
_atom_site_label
_atom_site_type_symbol
_atom_site_fract_x
_atom_site_fract_y
_atom_site_fract_z
Ca1 Ca 0.000 0.000 0.000
V1 V 0.000 0.500 0.500
Re1 Re 0.500 0.500 0.500
# - Calculated density: 6.07 g/cm3
# - E_form: 4.357 eV per formula unit
# - Size of the total moment: 0.7 μB per cell
# - V: 103.75 Å³ per cell

20.
# Ca2VRe, relaxed, DFT PBE
data_Ca2VRe
_chemical_formula_sum 'Ca8 V4 Re4'
_symmetry_space_group_name_H-M 'F m -3 m'
_symmetry_Int_Tables_number 225
_symmetry_space_group_name_Hall '-F 4 2 3'
_cell_length_a 7.161
_cell_length_b 7.161
_cell_length_c 7.161
_cell_angle_alpha 90.00
_cell_angle_beta 90.00
_cell_angle_gamma 90.00
loop_
_atom_site_label
_atom_site_type_symbol
_atom_site_fract_x
_atom_site_fract_y
_atom_site_fract_z
Ca1 Ca 0.250 0.250 0.250
V1 V 0.000 0.000 0.000
Re1 Re 0.000 0.000 0.500
# - Calculated density: 5.74 g/cm3
# - E_form: 4.239 eV per formula unit
# - Size of the total moment: 7.8 μB per cell
# - V: 367.23 Å³ per cell